{"formula": "Cs2Co3S4", "functional": "PBE", "state": "relaxed", "spacegroup": "Ibam", "formation_energy_uncorrected_ev_per_atom": -0.639, "lattice_angstrom": [[9.120, -0.004, 0.003], [1.019, 9.063, -0.003], [-2.622, -7.269, 4.845]], "species": ["Co", "Cs", "Co", "S", "Co", "Co", "S", "Cs", "Co", "S", "S", "S", "S", "Cs", "S", "Cs", "Co", "S"], "fractional_positions": [[0.250, 0.750, 0.500], [0.624, 0.253, 0.878], [0.503, 0.250, 0.253], [0.046, 0.421, 0.125], [0.750, 0.250, 0.500], [0.497, 0.750, 0.747], [0.296, 0.921, 0.875], [0.124, 0.247, 0.371], [0.003, 0.750, 0.253], [0.204, 0.079, 0.625], [0.454, 0.579, 0.375], [0.796, 0.921, 0.375], [0.954, 0.579, 0.875], [0.376, 0.747, 0.122], [0.704, 0.079, 0.125], [0.876, 0.753, 0.629], [0.997, 0.250, 0.747], [0.546, 0.421, 0.625]]}